[1]
The following is a DFT calculation (GGA+U) of a relaxed structure of NpNiP2O8.

Cell: 5.1094 5.1094 6.6071 Å, 90.00 90.00 120.00°
Fractional positions:
1 Np 0.0000 0.0000 0.0000
2 Ni 0.0000 0.0000 0.5000
3 P 0.3333 0.6667 0.2140
4 P 0.6667 0.3333 0.7860
5 O 0.1670 0.3340 0.2848
6 O 0.1670 0.8330 0.2848
7 O 0.3333 0.6667 0.9805
8 O 0.3340 0.1670 0.7152
9 O 0.6660 0.8330 0.2848
10 O 0.6667 0.3333 0.0195
11 O 0.8330 0.1670 0.7152
12 O 0.8330 0.6660 0.7152

Values from the calculation:
**Energy**: -92.55 eV per cell
**Total moment**: 0.417 μB per atom
**Density of states at the Fermi level**: 0.675 states/eV/atom

***

[2]
The following is a DFT calculation (GGA+U) of a relaxed structure of NpPaNiO6.

Cell: 5.7833 5.7833 8.6437 Å, 90.00 90.00 120.00°
Fractional positions:
1 Np 0.3333 0.6667 0.2500
2 Np 0.6667 0.3333 0.7500
3 Pa 0.3333 0.6667 0.7500
4 Pa 0.6667 0.3333 0.2500
5 Ni 0.0000 0.0000 0.0000
6 Ni 0.0000 0.0000 0.5000
7 O 0.0065 0.3409 0.1308
8 O 0.0065 0.6656 0.3692
9 O 0.3344 0.3409 0.3692
10 O 0.3344 0.9935 0.1308
11 O 0.3409 0.0065 0.6308
12 O 0.3409 0.3344 0.8692
13 O 0.6591 0.6656 0.1308
14 O 0.6591 0.9935 0.3692
15 O 0.6656 0.0065 0.8692
16 O 0.6656 0.6591 0.6308
17 O 0.9935 0.3344 0.6308
18 O 0.9935 0.6591 0.8692

Values from the calculation:
**Energy**: -154.89 eV per cell
**Total moment**: 0.444 μB per atom
**Density of states at the Fermi level**: 0.807 states/eV/atom

***

[3]
The following is a DFT calculation (GGA+U) of a relaxed structure of NpPaNi2O8.

Cell: 4.6795 4.6795 6.9965 Å, 90.00 90.00 90.39°
Fractional positions:
1 Np 0.0000 0.0000 0.0000
2 Pa 0.0000 0.0000 0.5000
3 Ni 0.5000 0.5000 0.2580
4 Ni 0.5000 0.5000 0.7420
5 O 0.1948 0.1948 0.2333
6 O 0.1948 0.1948 0.7667
7 O 0.2924 0.7076 0.0000
8 O 0.3077 0.6923 0.5000
9 O 0.6923 0.3077 0.5000
10 O 0.7076 0.2924 0.0000
11 O 0.8052 0.8052 0.2333
12 O 0.8052 0.8052 0.7667

Values from the calculation:
**Energy**: -94.87 eV per cell
**Total moment**: 0.338 μB per atom

***

[4]
The following is a DFT calculation (GGA+U) of a relaxed structure of NpNi2PbO6.

Cell: 5.9298 5.6505 9.9999 Å, 90.00 124.76 90.00°
Fractional positions:
1 Np 0.0000 0.0000 0.0000
2 Np 0.0000 0.5000 0.5000
3 Ni 0.3512 0.0008 0.7955
4 Ni 0.3512 0.4992 0.2955
5 Ni 0.6488 0.5008 0.7045
6 Ni 0.6488 0.9992 0.2045
7 Pb 0.5000 0.0000 0.5000
8 Pb 0.5000 0.5000 0.0000
9 O 0.0374 0.7043 0.1205
10 O 0.0374 0.7957 0.6205
11 O 0.2859 0.6239 0.4588
12 O 0.2859 0.8761 0.9588
13 O 0.3537 0.1672 0.2162
14 O 0.3537 0.3328 0.7162
15 O 0.6463 0.6672 0.2838
16 O 0.6463 0.8328 0.7838
17 O 0.7141 0.1239 0.0412
18 O 0.7141 0.3761 0.5412
19 O 0.9626 0.2043 0.3795
20 O 0.9626 0.2957 0.8795

Values from the calculation:
**Energy**: -136.37 eV per cell
**Total moment**: 0.500 μB per atom

***

Question: The lowest total moment belongs to which entry?
Answer: NpPaNi2O8